No. 1
This record from Alexandria via LeMat-Bulk describes Cs2RbH6Au2 after structural relaxation. The functional is PBE.

Cell lengths 6.4327, 6.7074, 7.0527 Å; angles 111.05, 90.00, 118.65 degrees
Last column: nearest neighbours and their distance in Å.
Element x y z (fractional)
Cs (0.2665, 0.5330, 0.8102)  4 H 3.04-3.31
H (0.2196, 0.0598, 0.8099)  1 Au 1.72
H (0.7804, 0.9402, 0.1901)  1 Au 1.72
Au (0.9190, 0.8380, 0.7689)  3 H 1.70-1.72
Rb (0.5000, 0.0000, 0.5000)  6 H 2.82-2.87
H (0.1598, 0.9402, 0.1901)  1 Au 1.72
Au (0.0810, 0.1620, 0.2311)  3 H 1.70-1.72
H (0.7621, 0.5242, 0.6959)  1 Au 1.70
H (0.2379, 0.4758, 0.3041)  1 Au 1.70
H (0.8402, 0.0598, 0.8099)  1 Au 1.72
Cs (0.7335, 0.4670, 0.1898)  4 H 3.04-3.31

Results
* electronic total energy: -30.215 eV/cell
* SG: C2/m, No. 12
* crystal system: monoclinic


No. 2
This record from Alexandria via LeMat-Bulk describes Cs8Rb3HAu3 after structural relaxation. The functional is PBE.

Cell lengths 10.1815, 10.2047, 13.7698 Å; angles 112.00, 90.00, 119.93 degrees
Last column: nearest neighbours and their distance in Å.
Element x y z (fractional)
Au (0.5000, 0.0000, 0.5000)  6 Cs 3.59
Cs (0.7384, 0.9466, 0.6539)  1 H 3.36, 2 Au 3.59
H (0.0000, 0.0000, 0.5000)  6 Cs 3.36-3.37
Rb (0.0000, 0.0000, 0.0000)  6 Cs 5.08-5.17, 4 Rb 5.10
Cs (0.2616, 0.0534, 0.3461)  1 H 3.36, 2 Au 3.59
Cs (0.7917, 0.0534, 0.3461)  1 H 3.36, 2 Au 3.59
Au (0.0000, 0.5000, 0.5000)  6 Cs 3.59
Cs (0.7913, 0.5826, 0.3457)  1 H 3.37, 2 Au 3.59
Rb (0.5000, 0.5000, 0.0000)  4 Rb 5.09-5.10, 6 Cs 5.10-5.16
Cs (0.7220, 0.4441, 0.6650)  3 Au 3.59
Cs (0.2087, 0.4174, 0.6543)  1 H 3.37, 2 Au 3.59
Cs (0.2780, 0.5559, 0.3350)  3 Au 3.59
Rb (0.0000, 0.5000, 0.0000)  4 Rb 5.09-5.10, 6 Cs 5.10-5.16
Au (0.5000, 0.5000, 0.5000)  6 Cs 3.59
Cs (0.2083, 0.9466, 0.6539)  1 H 3.36, 2 Au 3.59

Results
* electronic total energy: -24.840 eV/cell
* SG: C2/m, No. 12
* crystal system: monoclinic